Record 1
Below is a geometry-optimized RbYW2Au structure, with properties calculated at the GGA-PBE level.

a b c (Å): 4.764 4.764 5.139
angles (deg): 90.00 90.00 90.00
Sites, in units of the cell vectors:
Rb1 0.000 0.000 0.000
Y1 0.000 0.000 0.500
W1 0.000 0.500 0.000
W2 0.500 0.000 0.000
Au1 0.500 0.500 0.500

## Properties
Total magnetization: 0.0 μB per cell
Crystal system: tetragonal
Energy relative to the elements: 2996 meV/atom
Space group: No. 123
V: 116.6 Å³/f.u.
Raw total energy: -21.634 eV per formula unit

Record 2
Below is a geometry-optimized RbY2Au structure, with properties calculated at the GGA-PBE level.

a b c (Å): 9.985 9.985 9.985
angles (deg): 138.87 138.87 59.58
Sites, in units of the cell vectors:
Rb1 0.375 0.625 0.750
Rb2 0.625 0.375 0.250
Y1 0.000 0.000 0.000
Y2 0.000 0.000 0.500
Y3 0.000 0.500 0.000
Y4 0.500 0.000 0.500
Au1 0.125 0.875 0.250
Au2 0.875 0.125 0.750

## Properties
Total magnetization: 1.2 μB per cell
Crystal system: tetragonal
Energy relative to the elements: 398 meV/atom
Space group: No. 141
V: 213.2 Å³/f.u.
Raw total energy: -15.581 eV per formula unit
Excess energy over the best structure of this formula in the dataset: 0.1837 eV per atom

Record 3
Below is a geometry-optimized RbY3Au structure, with properties calculated at the GGA-PBE level.

a b c (Å): 5.738 5.738 5.738
angles (deg): 90.00 90.00 90.00
Sites, in units of the cell vectors:
Rb1 0.000 0.000 0.000
Y1 0.000 0.500 0.500
Y2 0.500 0.000 0.500
Y3 0.500 0.500 0.000
Au1 0.500 0.500 0.500

## Properties
Total magnetization: 0.7 μB per cell
Crystal system: cubic
Energy relative to the elements: 69 meV/atom
Space group: No. 221
V: 189.0 Å³/f.u.
Raw total energy: -23.292 eV per formula unit
Excess energy over the best structure of this formula in the dataset: 0.0000 eV per atom

Record 4
Below is a geometry-optimized Rb3YAu structure, with properties calculated at the GGA-PBE level.

a b c (Å): 6.655 6.655 6.655
angles (deg): 90.00 90.00 90.00
Sites, in units of the cell vectors:
Rb1 0.000 0.000 0.500
Rb2 0.000 0.500 0.000
Rb3 0.500 0.000 0.000
Y1 0.500 0.500 0.500
Au1 0.000 0.000 0.000

## Properties
Total magnetization: 1.8 μB per cell
Crystal system: cubic
Energy relative to the elements: 442 meV/atom
Space group: No. 221
V: 294.8 Å³/f.u.
Raw total energy: -10.436 eV per formula unit
Excess energy over the best structure of this formula in the dataset: 0.0000 eV per atom

Record 5
Below is a geometry-optimized Rb3YAu structure, with properties calculated at the GGA-PBE level.

a b c (Å): 7.520 7.520 7.520
angles (deg): 90.00 90.00 90.00
Sites, in units of the cell vectors:
Rb1 0.000 0.000 0.500
Rb2 0.000 0.500 0.000
Rb3 0.500 0.000 0.000
Y1 0.000 0.000 0.000
Au1 0.500 0.500 0.500

## Properties
Total magnetization: 3.0 μB per cell
Crystal system: cubic
Energy relative to the elements: 920 meV/atom
Space group: No. 221
V: 425.3 Å³/f.u.
Raw total energy: -8.043 eV per formula unit
Excess energy over the best structure of this formula in the dataset: 0.4787 eV per atom

Record 6
Below is a geometry-optimized RbY3Au structure, with properties calculated at the GGA-PBE level.

a b c (Å): 5.360 5.360 5.360
angles (deg): 90.00 90.00 90.00
Sites, in units of the cell vectors:
Rb1 0.000 0.000 0.000
Y1 0.000 0.000 0.500
Y2 0.000 0.500 0.000
Y3 0.500 0.000 0.000
Au1 0.500 0.500 0.500

## Properties
Total magnetization: 0.0 μB per cell
Crystal system: cubic
Energy relative to the elements: 1352 meV/atom
Space group: No. 221
V: 154.0 Å³/f.u.
Raw total energy: -16.875 eV per formula unit
Excess energy over the best structure of this formula in the dataset: 1.2834 eV per atom